Record 1
A relaxed MgCu2SiSe3S crystal. Source: the Open Quantum Materials Database, functional PBE.

CIF file:
```
data_MgCu2SiSe3S
_chemical_formula_sum 'Mg1 Cu2 Si1 Se3 S1'
_space_group_name_H-M_alt 'P 1'
_space_group_IT_number 1
_space_group_name_Hall 'P 1'
_cell_length_a 5.650
_cell_length_b 5.650
_cell_length_c 6.680
_cell_angle_alpha 114.47
_cell_angle_beta 114.47
_cell_angle_gamma 90.26
loop_
_atom_site_label
_atom_site_fract_x
_atom_site_fract_y
_atom_site_fract_z
Mg1 0.015 0.015 0.012
S1 0.400 0.400 0.251
Se1 0.601 0.141 0.746
Se2 0.141 0.601 0.746
Se3 0.856 0.856 0.262
Cu1 0.732 0.258 0.488
Cu2 0.258 0.732 0.488
Si1 0.496 0.496 0.006
```

* SG: No. 8
* total energy: -4.203 eV per atom



Record 2
A relaxed MgGaPd2 crystal. Source: the Open Quantum Materials Database, functional PBE.

CIF file:
```
data_MgGaPd2
_chemical_formula_sum 'Mg6 Ga6 Pd12'
_space_group_name_H-M_alt 'P 1'
_space_group_IT_number 1
_space_group_name_Hall 'P 1'
_cell_length_a 4.435
_cell_length_b 6.250
_cell_length_c 13.307
_cell_angle_alpha 90.00
_cell_angle_beta 90.00
_cell_angle_gamma 90.00
loop_
_atom_site_label
_atom_site_fract_x
_atom_site_fract_y
_atom_site_fract_z
Mg1 0.500 0.000 0.500
Mg2 0.000 0.500 0.333
Mg3 0.500 0.000 0.167
Mg4 0.000 0.500 0.667
Mg5 0.000 0.500 0.000
Mg6 0.500 0.000 0.833
Pd1 0.000 0.250 0.833
Pd2 0.000 0.750 0.500
Pd3 0.000 0.250 0.500
Pd4 0.000 0.750 0.833
Pd5 0.500 0.750 0.667
Pd6 0.500 0.750 0.000
Pd7 0.500 0.250 0.000
Pd8 0.500 0.250 0.333
Pd9 0.500 0.750 0.333
Pd10 0.000 0.250 0.167
Pd11 0.500 0.250 0.667
Pd12 0.000 0.750 0.167
Ga1 0.000 0.000 0.667
Ga2 0.000 0.000 0.000
Ga3 0.500 0.500 0.500
Ga4 0.000 0.000 0.333
Ga5 0.500 0.500 0.833
Ga6 0.500 0.500 0.167
```

* SG: No. 139
* total energy: -4.454 eV per atom



Record 3
A relaxed CoSe2 crystal. Source: the Open Quantum Materials Database, functional PBE.

CIF file:
```
data_CoSe2
_chemical_formula_sum 'Co2 Se4'
_space_group_name_H-M_alt 'P 1'
_space_group_IT_number 1
_space_group_name_Hall 'P 1'
_cell_length_a 6.197
_cell_length_b 6.197
_cell_length_c 6.197
_cell_angle_alpha 129.36
_cell_angle_beta 129.36
_cell_angle_gamma 74.43
loop_
_atom_site_label
_atom_site_fract_x
_atom_site_fract_y
_atom_site_fract_z
Se1 0.114 0.625 0.989
Se2 0.636 0.125 0.011
Se3 0.875 0.886 0.511
Se4 0.375 0.364 0.489
Co1 0.750 0.250 0.500
Co2 0.000 0.000 0.000
```

* SG: No. 122
* total energy: -4.685 eV per atom



Record 4
A relaxed Dy2TmAl3AgGe2 crystal. Source: the Open Quantum Materials Database, functional PBE.

CIF file:
```
data_Dy2TmAl3AgGe2
_chemical_formula_sum 'Dy2 Tm1 Al3 Ag1 Ge2'
_space_group_name_H-M_alt 'P 1'
_space_group_IT_number 1
_space_group_name_Hall 'P 1'
_cell_length_a 4.276
_cell_length_b 7.018
_cell_length_c 7.018
_cell_angle_alpha 119.77
_cell_angle_beta 90.00
_cell_angle_gamma 90.00
loop_
_atom_site_label
_atom_site_fract_x
_atom_site_fract_y
_atom_site_fract_z
Al1 0.500 0.999 0.239
Al2 0.500 0.239 0.999
Al3 0.500 0.761 0.761
Tm1 0.000 0.415 0.415
Ge1 0.500 0.334 0.664
Ge2 0.500 0.664 0.334
Dy1 0.000 0.584 0.999
Dy2 0.000 0.999 0.584
Ag1 0.000 0.005 0.005
```

* SG: No. 38
* total energy: -4.719 eV per atom



Record 5
A relaxed DyAuSeO crystal. Source: the Open Quantum Materials Database, functional PBE.

CIF file:
```
data_DyAuSeO
_chemical_formula_sum 'Dy2 Au2 Se2 O2'
_space_group_name_H-M_alt 'P 1'
_space_group_IT_number 1
_space_group_name_Hall 'P 1'
_cell_length_a 3.974
_cell_length_b 3.974
_cell_length_c 9.591
_cell_angle_alpha 90.00
_cell_angle_beta 90.00
_cell_angle_gamma 90.17
loop_
_atom_site_label
_atom_site_fract_x
_atom_site_fract_y
_atom_site_fract_z
O1 0.122 0.878 0.000
O2 0.622 0.378 0.000
Dy1 0.122 0.378 0.114
Dy2 0.622 0.878 0.886
Se1 0.123 0.377 0.722
Se2 0.623 0.877 0.278
Au1 0.873 0.127 0.500
Au2 0.373 0.627 0.500
```

* E above lowest polymorph: 0.006 eV/atom
* SG: No. 39



Record 6
A relaxed ScGa40Mo8 crystal. Source: the Open Quantum Materials Database, functional PBE.

CIF file:
```
data_ScGa40Mo8
_chemical_formula_sum 'Sc1 Ga40 Mo8'
_space_group_name_H-M_alt 'P 1'
_space_group_IT_number 1
_space_group_name_Hall 'P 1'
_cell_length_a 9.590
_cell_length_b 9.590
_cell_length_c 9.590
_cell_angle_alpha 94.71
_cell_angle_beta 94.71
_cell_angle_gamma 94.71
loop_
_atom_site_label
_atom_site_fract_x
_atom_site_fract_y
_atom_site_fract_z
Mo1 0.389 0.113 0.707
Mo2 0.707 0.389 0.113
Mo3 0.203 0.203 0.203
Mo4 0.293 0.611 0.887
Mo5 0.113 0.707 0.389
Mo6 0.887 0.293 0.611
Mo7 0.611 0.887 0.293
Mo8 0.797 0.797 0.797
Ga1 0.785 0.597 0.966
Ga2 0.549 0.221 0.929
Ga3 0.403 0.034 0.215
Ga4 0.123 0.174 0.688
Ga5 0.636 0.612 0.268
Ga6 0.732 0.870 0.052
Ga7 0.536 0.674 0.778
Ga8 0.215 0.403 0.034
Ga9 0.268 0.130 0.948
Ga10 0.268 0.636 0.612
Ga11 0.500 0.500 0.500
Ga12 0.778 0.536 0.674
Ga13 0.034 0.215 0.403
Ga14 0.826 0.312 0.877
Ga15 0.929 0.549 0.221
Ga16 0.597 0.966 0.785
Ga17 0.052 0.732 0.870
Ga18 0.779 0.071 0.451
Ga19 0.364 0.388 0.732
Ga20 0.877 0.826 0.312
Ga21 0.500 0.000 0.500
Ga22 0.388 0.732 0.364
Ga23 0.688 0.123 0.174
Ga24 0.326 0.222 0.464
Ga25 0.130 0.948 0.268
Ga26 0.464 0.326 0.222
Ga27 0.870 0.052 0.732
Ga28 0.674 0.778 0.536
Ga29 0.174 0.688 0.123
Ga30 0.222 0.464 0.326
Ga31 0.966 0.785 0.597
Ga32 0.221 0.929 0.549
Ga33 0.500 0.500 0.000
Ga34 0.732 0.364 0.388
Ga35 0.612 0.268 0.636
Ga36 0.071 0.451 0.779
Ga37 0.000 0.500 0.500
Ga38 0.312 0.877 0.826
Ga39 0.451 0.779 0.071
Ga40 0.948 0.268 0.130
Sc1 0.000 0.000 0.000
```

* SG: No. 148
* total energy: -4.523 eV per atom



Record 7
A relaxed GdSnW crystal. Source: the Open Quantum Materials Database, functional PBE.

CIF file:
```
data_GdSnW
_chemical_formula_sum 'Gd1 Sn1 W1'
_space_group_name_H-M_alt 'P 1'
_space_group_IT_number 1
_space_group_name_Hall 'P 1'
_cell_length_a 4.934
_cell_length_b 4.934
_cell_length_c 4.934
_cell_angle_alpha 60.00
_cell_angle_beta 60.00
_cell_angle_gamma 60.00
loop_
_atom_site_label
_atom_site_fract_x
_atom_site_fract_y
_atom_site_fract_z
Sn1 0.250 0.250 0.250
W1 0.750 0.750 0.750
Gd1 0.000 0.000 0.000
```

* SG: No. 216
* total energy: -5.953 eV per atom



Record 8
A relaxed YTm2Al7Cu2 crystal. Source: the Open Quantum Materials Database, functional PBE.

CIF file:
```
data_YTm2Al7Cu2
_chemical_formula_sum 'Y1 Tm2 Al7 Cu2'
_space_group_name_H-M_alt 'P 1'
_space_group_IT_number 1
_space_group_name_Hall 'P 1'
_cell_length_a 9.016
_cell_length_b 9.016
_cell_length_c 9.016
_cell_angle_alpha 35.26
_cell_angle_beta 35.26
_cell_angle_gamma 35.26
loop_
_atom_site_label
_atom_site_fract_x
_atom_site_fract_y
_atom_site_fract_z
Al1 0.500 0.500 0.500
Al2 0.927 0.418 0.418
Al3 0.073 0.582 0.582
Al4 0.418 0.418 0.927
Al5 0.582 0.582 0.073
Al6 0.418 0.927 0.418
Al7 0.582 0.073 0.582
Tm1 0.858 0.858 0.858
Tm2 0.142 0.142 0.142
Cu1 0.665 0.665 0.665
Cu2 0.335 0.335 0.335
Y1 0.000 0.000 0.000
```

* SG: No. 166
* total energy: -4.571 eV per atom